Entry from Alexandria via LeMat-Bulk: a relaxed structure of TaWOF2 (PBE+U).

Results
* N(E_F): 2.85 states/eV/f.u.
* crystal system: tetragonal
* final energy: -32.66 eV per formula unit
* energy relative to the lowest polymorph listed for this composition: 0 kJ/mol of formula units

abc: 4.3735 4.3735 3.9405
angles: 90.00 90.00 90.00
Last column: nearest neighbours and their distance in Å.
Space group P4/mmm (No. 123)
Unique sites:
Ta 0.0000 0.0000 0.0000  2 O 1.97, 4 F 2.19
W 0.5000 0.5000 0.5000  8 F 2.94, 4 O 3.09
O 0.0000 0.0000 0.5000  2 Ta 1.97
F 0.0000 0.5000 0.0000  2 Ta 2.19